# 1
The following is a PBEsol calculation of Fe4WAu after structural relaxation, from Alexandria.

Geometry as CIF:
```
data_Fe4WAu
_space_group_name_H-M_alt 'F -4 3 m'
_space_group_IT_number 216
_space_group_name_Hall 'F -4 2 3'
_cell_length_a 6.635
_cell_length_b 6.635
_cell_length_c 6.635
_cell_angle_alpha 90.00
_cell_angle_beta 90.00
_cell_angle_gamma 90.00
loop_
_atom_site_label
_atom_site_type_symbol
_atom_site_fract_x
_atom_site_fract_y
_atom_site_fract_z
Fe1 Fe 0.125 0.125 0.125
W1 W 0.000 0.000 0.500
Au1 Au 0.250 0.250 0.750
```

***

# 2
The following is a PBEsol calculation of Fe2WAu after structural relaxation, from Alexandria.

Geometry as CIF:
```
data_Fe2WAu
_space_group_name_H-M_alt 'C m m m'
_space_group_IT_number 65
_space_group_name_Hall '-C 2 2'
_cell_length_a 5.444
_cell_length_b 7.144
_cell_length_c 2.756
_cell_angle_alpha 90.00
_cell_angle_beta 90.00
_cell_angle_gamma 90.00
loop_
_atom_site_label
_atom_site_type_symbol
_atom_site_fract_x
_atom_site_fract_y
_atom_site_fract_z
Fe1 Fe 0.250 0.250 0.000
W1 W 0.000 0.000 0.500
Au1 Au 0.000 0.500 0.500
```

***

# 3
The following is a PBEsol calculation of Fe2WAu after structural relaxation, from Alexandria.

Geometry as CIF:
```
data_Fe2WAu
_space_group_name_H-M_alt 'I 4/m m m'
_space_group_IT_number 139
_space_group_name_Hall '-I 4 2'
_cell_length_a 3.850
_cell_length_b 3.850
_cell_length_c 7.104
_cell_angle_alpha 90.00
_cell_angle_beta 90.00
_cell_angle_gamma 90.00
loop_
_atom_site_label
_atom_site_type_symbol
_atom_site_fract_x
_atom_site_fract_y
_atom_site_fract_z
Fe1 Fe 0.000 0.500 0.250
W1 W 0.000 0.000 0.000
Au1 Au 0.000 0.000 0.500
```

***

# 4
The following is a PBEsol calculation of YFe2Au after structural relaxation, from Alexandria.

Geometry as CIF:
```
data_YFe2Au
_space_group_name_H-M_alt 'C 1 2/m 1'
_space_group_IT_number 12
_space_group_name_Hall '-C 2y'
_cell_length_a 5.548
_cell_length_b 8.870
_cell_length_c 2.920
_cell_angle_alpha 90.00
_cell_angle_beta 115.10
_cell_angle_gamma 90.00
loop_
_atom_site_label
_atom_site_type_symbol
_atom_site_fract_x
_atom_site_fract_y
_atom_site_fract_z
Y1 Y 0.000 0.000 0.000
Fe1 Fe 0.250 0.250 0.500
Au1 Au 0.000 0.500 0.000
```

***

# 5
The following is a PBEsol calculation of YFe3Au after structural relaxation, from Alexandria.

Geometry as CIF:
```
data_YFe3Au
_space_group_name_H-M_alt 'P m -3 m'
_space_group_IT_number 221
_space_group_name_Hall '-P 4 2 3'
_cell_length_a 4.689
_cell_length_b 4.689
_cell_length_c 4.689
_cell_angle_alpha 90.00
_cell_angle_beta 90.00
_cell_angle_gamma 90.00
loop_
_atom_site_label
_atom_site_type_symbol
_atom_site_fract_x
_atom_site_fract_y
_atom_site_fract_z
Y1 Y 0.000 0.000 0.000
Fe1 Fe 0.000 0.500 0.500
Au1 Au 0.500 0.500 0.500
```

***

# 6
The following is a PBEsol calculation of YFeAu2 after structural relaxation, from Alexandria.

Geometry as CIF:
```
data_YFeAu2
_space_group_name_H-M_alt 'P 4 m m'
_space_group_IT_number 99
_space_group_name_Hall 'P 4 -2'
_cell_length_a 3.469
_cell_length_b 3.469
_cell_length_c 6.064
_cell_angle_alpha 90.00
_cell_angle_beta 90.00
_cell_angle_gamma 90.00
loop_
_atom_site_label
_atom_site_type_symbol
_atom_site_fract_x
_atom_site_fract_y
_atom_site_fract_z
Y1 Y 0.000 0.000 0.000
Fe1 Fe 0.500 0.500 0.706
Au1 Au 0.000 0.000 0.522
Au2 Au 0.500 0.500 0.267
```

***

# 7
The following is a PBEsol calculation of YFeAu3 after structural relaxation, from Alexandria.

Geometry as CIF:
```
data_YFeAu3
_space_group_name_H-M_alt 'P m -3 m'
_space_group_IT_number 221
_space_group_name_Hall '-P 4 2 3'
_cell_length_a 4.739
_cell_length_b 4.739
_cell_length_c 4.739
_cell_angle_alpha 90.00
_cell_angle_beta 90.00
_cell_angle_gamma 90.00
loop_
_atom_site_label
_atom_site_type_symbol
_atom_site_fract_x
_atom_site_fract_y
_atom_site_fract_z
Y1 Y 0.000 0.000 0.000
Fe1 Fe 0.500 0.500 0.500
Au1 Au 0.000 0.500 0.500
```

***

# 8
The following is a PBEsol calculation of Zn2FeAu after structural relaxation, from Alexandria.

Geometry as CIF:
```
data_Zn2FeAu
_space_group_name_H-M_alt 'P m m 2'
_space_group_IT_number 25
_space_group_name_Hall 'P 2 -2'
_cell_length_a 2.728
_cell_length_b 3.730
_cell_length_c 5.454
_cell_angle_alpha 90.00
_cell_angle_beta 90.00
_cell_angle_gamma 90.00
loop_
_atom_site_label
_atom_site_type_symbol
_atom_site_fract_x
_atom_site_fract_y
_atom_site_fract_z
Zn1 Zn 0.000 0.000 0.000
Zn2 Zn 0.500 0.500 0.253
Fe1 Fe 0.500 0.500 0.779
Au1 Au 0.000 0.000 0.514
```

***

# 9
The following is a PBEsol calculation of Zr2FeAu after structural relaxation, from Alexandria.

Geometry as CIF:
```
data_Zr2FeAu
_space_group_name_H-M_alt 'P 1 2/m 1'
_space_group_IT_number 10
_space_group_name_Hall '-P 2y'
_cell_length_a 3.101
_cell_length_b 3.101
_cell_length_c 7.185
_cell_angle_alpha 90.00
_cell_angle_beta 90.11
_cell_angle_gamma 90.00
loop_
_atom_site_label
_atom_site_type_symbol
_atom_site_fract_x
_atom_site_fract_y
_atom_site_fract_z
Zr1 Zr 0.001 0.000 0.281
Fe1 Fe 0.500 0.500 0.500
Au1 Au 0.500 0.500 0.000
```

***

# 10
The following is a PBEsol calculation of Zr2FeAu after structural relaxation, from Alexandria.

Geometry as CIF:
```
data_Zr2FeAu
_space_group_name_H-M_alt 'I -4 m 2'
_space_group_IT_number 119
_space_group_name_Hall 'I -4 -2'
_cell_length_a 3.991
_cell_length_b 3.991
_cell_length_c 8.643
_cell_angle_alpha 90.00
_cell_angle_beta 90.00
_cell_angle_gamma 90.00
loop_
_atom_site_label
_atom_site_type_symbol
_atom_site_fract_x
_atom_site_fract_y
_atom_site_fract_z
Zr1 Zr 0.000 0.000 0.000
Zr2 Zr 0.000 0.500 0.250
Fe1 Fe 0.000 0.500 0.750
Au1 Au 0.000 0.000 0.500
```

***

# 11
The following is a PBEsol calculation of ZrFe2Au after structural relaxation, from Alexandria.

Geometry as CIF:
```
data_ZrFe2Au
_space_group_name_H-M_alt 'P 1 2/m 1'
_space_group_IT_number 10
_space_group_name_Hall '-P 2y'
_cell_length_a 2.788
_cell_length_b 4.415
_cell_length_c 5.034
_cell_angle_alpha 90.00
_cell_angle_beta 94.70
_cell_angle_gamma 90.00
loop_
_atom_site_label
_atom_site_type_symbol
_atom_site_fract_x
_atom_site_fract_y
_atom_site_fract_z
Zr1 Zr 0.000 0.000 0.000
Fe1 Fe 0.312 0.500 0.774
Au1 Au 0.500 0.000 0.500
```

***

# 12
The following is a PBEsol calculation of Zr2FeAu after structural relaxation, from Alexandria.

Geometry as CIF:
```
data_Zr2FeAu
_space_group_name_H-M_alt 'P 4 m m'
_space_group_IT_number 99
_space_group_name_Hall 'P 4 -2'
_cell_length_a 3.362
_cell_length_b 3.362
_cell_length_c 6.302
_cell_angle_alpha 90.00
_cell_angle_beta 90.00
_cell_angle_gamma 90.00
loop_
_atom_site_label
_atom_site_type_symbol
_atom_site_fract_x
_atom_site_fract_y
_atom_site_fract_z
Zr1 Zr 0.000 0.000 0.000
Zr2 Zr 0.500 0.500 0.305
Fe1 Fe 0.500 0.500 0.791
Au1 Au 0.000 0.000 0.550
```

***

# 13
The following is a PBEsol calculation of ZrFe2Au after structural relaxation, from Alexandria.

Geometry as CIF:
```
data_ZrFe2Au
_space_group_name_H-M_alt 'R -3 m'
_space_group_IT_number 166
_space_group_name_Hall '-R 3 2"'
_cell_length_a 2.8464
_cell_length_b 2.8464
_cell_length_c 26.7491
_cell_angle_alpha 90.00
_cell_angle_beta 90.00
_cell_angle_gamma 120.00
loop_
_atom_site_label
_atom_site_type_symbol
_atom_site_fract_x
_atom_site_fract_y
_atom_site_fract_z
Zr1 Zr 0.0000 0.0000 0.0000
Fe1 Fe 0.0000 0.0000 0.2470
Au1 Au 0.0000 0.0000 0.5000
```

***

# 14
The following is a PBEsol calculation of Ga2Au after structural relaxation, from Alexandria.

Geometry as CIF:
```
data_Ga2Au
_space_group_name_H-M_alt 'F m -3 m'
_space_group_IT_number 225
_space_group_name_Hall '-F 4 2 3'
_cell_length_a 6.080
_cell_length_b 6.080
_cell_length_c 6.080
_cell_angle_alpha 90.00
_cell_angle_beta 90.00
_cell_angle_gamma 90.00
loop_
_atom_site_label
_atom_site_type_symbol
_atom_site_fract_x
_atom_site_fract_y
_atom_site_fract_z
Ga1 Ga 0.250 0.250 0.250
Au1 Au 0.000 0.000 0.000
```

***

# 15
The following is a PBEsol calculation of Ga2Au7 after structural relaxation, from Alexandria.

Geometry as CIF:
```
data_Ga2Au7
_space_group_name_H-M_alt 'P -6 2 m'
_space_group_IT_number 189
_space_group_name_Hall 'P -6 -2'
_cell_length_a 7.6798
_cell_length_b 7.6798
_cell_length_c 8.7891
_cell_angle_alpha 90.00
_cell_angle_beta 90.00
_cell_angle_gamma 120.00
loop_
_atom_site_label
_atom_site_type_symbol
_atom_site_fract_x
_atom_site_fract_y
_atom_site_fract_z
Ga1 Ga 0.0000 0.0000 0.1898
Ga2 Ga 0.3333 0.6667 0.3155
Au1 Au 0.0000 0.0000 0.5000
Au2 Au 0.0000 0.3579 0.1694
Au3 Au 0.0000 0.3679 0.5000
Au4 Au 0.0000 0.6845 0.3317
Au5 Au 0.0000 0.7214 0.0000
Au6 Au 0.3333 0.6667 0.0000
```

***

# 16
The following is a PBEsol calculation of Ga2Au after structural relaxation, from Alexandria.

Geometry as CIF:
```
data_Ga2Au
_space_group_name_H-M_alt 'P n m a'
_space_group_IT_number 62
_space_group_name_Hall '-P 2ac 2n'
_cell_length_a 6.990
_cell_length_b 3.673
_cell_length_c 8.144
_cell_angle_alpha 90.00
_cell_angle_beta 90.00
_cell_angle_gamma 90.00
loop_
_atom_site_label
_atom_site_type_symbol
_atom_site_fract_x
_atom_site_fract_y
_atom_site_fract_z
Ga1 Ga 0.049 0.250 0.148
Ga2 Ga 0.129 0.250 0.559
Au1 Au 0.248 0.750 0.352
```

***

# 17
The following is a PBEsol calculation of GaGeAu3 after structural relaxation, from Alexandria.

Geometry as CIF:
```
data_GaGeAu3
_space_group_name_H-M_alt 'P m -3 m'
_space_group_IT_number 221
_space_group_name_Hall '-P 4 2 3'
_cell_length_a 4.831
_cell_length_b 4.831
_cell_length_c 4.831
_cell_angle_alpha 90.00
_cell_angle_beta 90.00
_cell_angle_gamma 90.00
loop_
_atom_site_label
_atom_site_type_symbol
_atom_site_fract_x
_atom_site_fract_y
_atom_site_fract_z
Ga1 Ga 0.000 0.000 0.000
Ge1 Ge 0.500 0.500 0.500
Au1 Au 0.000 0.500 0.500
```

***

# 18
The following is a PBEsol calculation of NbGaGeAu2 after structural relaxation, from Alexandria.

Geometry as CIF:
```
data_NbGaGeAu2
_space_group_name_H-M_alt 'P 4/m m m'
_space_group_IT_number 123
_space_group_name_Hall '-P 4 2'
_cell_length_a 4.683
_cell_length_b 4.683
_cell_length_c 4.704
_cell_angle_alpha 90.00
_cell_angle_beta 90.00
_cell_angle_gamma 90.00
loop_
_atom_site_label
_atom_site_type_symbol
_atom_site_fract_x
_atom_site_fract_y
_atom_site_fract_z
Nb1 Nb 0.000 0.000 0.000
Ga1 Ga 0.500 0.500 0.500
Ge1 Ge 0.500 0.500 0.000
Au1 Au 0.000 0.500 0.500
```

***

# 19
The following is a PBEsol calculation of TlGaGe2Au after structural relaxation, from Alexandria.

Geometry as CIF:
```
data_TlGaGe2Au
_space_group_name_H-M_alt 'P 4/m m m'
_space_group_IT_number 123
_space_group_name_Hall '-P 4 2'
_cell_length_a 4.951
_cell_length_b 4.951
_cell_length_c 4.845
_cell_angle_alpha 90.00
_cell_angle_beta 90.00
_cell_angle_gamma 90.00
loop_
_atom_site_label
_atom_site_type_symbol
_atom_site_fract_x
_atom_site_fract_y
_atom_site_fract_z
Tl1 Tl 0.000 0.000 0.000
Ga1 Ga 0.500 0.500 0.500
Ge1 Ge 0.000 0.500 0.500
Au1 Au 0.500 0.500 0.000
```

***

# 20
The following is a PBEsol calculation of Tl2GaGeAu after structural relaxation, from Alexandria.

Geometry as CIF:
```
data_Tl2GaGeAu
_space_group_name_H-M_alt 'P 4/m m m'
_space_group_IT_number 123
_space_group_name_Hall '-P 4 2'
_cell_length_a 5.383
_cell_length_b 5.383
_cell_length_c 4.775
_cell_angle_alpha 90.00
_cell_angle_beta 90.00
_cell_angle_gamma 90.00
loop_
_atom_site_label
_atom_site_type_symbol
_atom_site_fract_x
_atom_site_fract_y
_atom_site_fract_z
Tl1 Tl 0.000 0.500 0.000
Ga1 Ga 0.000 0.000 0.500
Ge1 Ge 0.000 0.000 0.000
Au1 Au 0.500 0.500 0.500
```

***

no.,formation energy (meV per atom)
1,56
2,307
3,225
4,287
5,967
6,-222
7,119
8,28
9,-360
10,-154
11,140
12,-171
13,352
14,-256
15,-117
16,-166
17,342
18,865
19,438
20,524